A relaxed structure of Te3PS, computed with GGA-PBE.

Values from the calculation:
Polymorph energy (0 for the lowest one)   0.000 eV per formula unit
VASP energy   -3.0011 eV/atom
Mass density   5.28 Mg/m³

a = 5.1948 Å, b = 5.1948 Å, c = 5.1948 Å
α = 90.00°, β = 90.00°, γ = 90.00°
With the nearest neighbours (Å) after each atom.
Space group Pm-3m (No. 221)
Inequivalent atoms, fractional coordinates:
Te 0.0000 0.0000 0.5000 x3  2 P 2.60
P 0.0000 0.0000 0.0000 x1  6 Te 2.60
S 0.5000 0.5000 0.5000 x1  12 Te 3.67